Entry 1:
Material: AlGaSe3
Method: DFT, PBE
State: optimized geometry

Output
M_tot in μB per cell: 0.00
Energy relative to the elements, uncorrected in eV/atom: -0.635

a b c (Å): 6.8185 6.8185 11.2813
angles (deg): 95.64 95.64 31.62
Fractional positions:
1 Al 0.1607 0.1607 0.4065
2 Al 0.8393 0.8393 0.5935
3 Ga 0.4264 0.4264 0.2187
4 Ga 0.5736 0.5736 0.7813
5 Se 0.1412 0.1412 0.8896
6 Se 0.3515 0.3515 0.4308
7 Se 0.3854 0.3854 0.7374
8 Se 0.6146 0.6146 0.2626
9 Se 0.6485 0.6485 0.5692
10 Se 0.8588 0.8588 0.1104

Entry 2:
Material: AlGaSe3
Method: DFT, PBE
State: optimized geometry

Output
M_tot in μB per cell: 0.00
Energy relative to the elements, uncorrected in eV/atom: -0.091

a b c (Å): 4.9566 4.9566 4.9566
angles (deg): 90.00 90.00 90.00
Fractional positions:
1 Al 0.0000 0.0000 0.0000
2 Ga 0.5000 0.5000 0.5000
3 Se 0.0000 0.0000 0.5000
4 Se 0.0000 0.5000 0.0000
5 Se 0.5000 0.0000 0.0000

Question: The highest energy relative to the elements, uncorrected belongs to which entry?
Answer: number 2

Question: Look up the M_tot of the second one.
Answer: 0.00 μB per cell